TaCoI2O after structural relaxation, computed with GGA+U.

Cell: 5.5198 5.5198 3.5210 Å, 90.00 90.00 90.00°
With the nearest neighbours (Å) after each atom.
Fractional coordinates of all 5 atoms:
Ta (0.0000, 0.0000, 0.0000)  8 I 3.27, 2 Ta 3.52
Co (0.5000, 0.5000, 0.5000)  2 O 1.76
I (0.0000, 0.5000, 0.5000)  2 Co 2.76
I (0.5000, 0.0000, 0.5000)  2 Co 2.76
O (0.5000, 0.5000, 0.0000)  2 Co 1.76

Computed properties:
V, Å³/atom: 21.5
Space-group type: P4/mmm (123)
Offset from the most stable computed form, eV/f.u.: 3.396
D(E_F), states/eV per cell: 2.69